# Fe2SiW

A relaxed structure of Fe2SiW (PBE, Alexandria via LeMat-Bulk).

Cell lengths 2.7512, 2.7512, 6.2630 Å; angles 90.00, 90.00, 90.00 degrees
With the nearest neighbours (Å) after each atom.
Fractional coordinates of all 4 atoms:
1 Fe 0.0000 0.0000 0.2156  4 Si 2.37, 4 W 2.64
2 Fe 0.0000 0.0000 0.7844  4 Si 2.37, 4 W 2.64
3 Si 0.5000 0.5000 0.0000  8 Fe 2.37
4 W 0.5000 0.5000 0.5000  8 Fe 2.64, 4 W 2.75

Computed properties:
For the energy relative to the elements, uncorrected, the calculation gives -0.243 eV per atom. The total energy is -9.068 eV per atom. The value obtained for the density of states at the Fermi level is 5.20 states/eV per cell. Its total magnetization is 0.00 μB per formula unit.

# FeAg2Se

A relaxed structure of FeAg2Se (PBE, Alexandria via LeMat-Bulk).

Cell lengths 6.4274, 6.4274, 6.4274 Å; angles 153.65, 139.67, 48.82 degrees
With the nearest neighbours (Å) after each atom.
Fractional coordinates of all 4 atoms:
1 Fe 0.0000 0.0000 0.0000  2 Se 2.35
2 Ag 0.4385 0.4385 0.0000  4 Fe 2.75, 4 Ag 2.81-2.93
3 Ag 0.7904 0.2904 0.5000  4 Ag 2.81-2.93, 2 Fe 2.86, 4 Se 3.08
4 Se 0.1568 0.6568 0.5000  2 Fe 2.35

Computed properties:
For the energy relative to the elements, uncorrected, the calculation gives 0.230 eV per atom. The total energy is -4.183 eV per atom. The value obtained for the density of states at the Fermi level is 3.14 states/eV per cell. Its total magnetization is 2.55 μB per formula unit.

# ScTi4Ga5

A relaxed structure of ScTi4Ga5 (PBE, Alexandria via LeMat-Bulk).

Cell lengths 3.4079, 3.4079, 14.2599 Å; angles 90.00, 90.00, 90.00 degrees
With the nearest neighbours (Å) after each atom.
Fractional coordinates of all 10 atoms:
1 Sc 0.0000 0.0000 0.0000  8 Ga 2.91, 2 Ti 3.05
2 Ti 0.0000 0.0000 0.2136  1 Ti 2.70, 8 Ga 2.76-2.79
3 Ti 0.0000 0.0000 0.4026  2 Ti 2.70-2.78, 8 Ga 2.77-2.78
4 Ti 0.0000 0.0000 0.5974  2 Ti 2.70-2.78, 8 Ga 2.77-2.78
5 Ti 0.0000 0.0000 0.7864  1 Ti 2.70, 8 Ga 2.76-2.79
6 Ga 0.5000 0.5000 0.1148  1 Ga 2.75, 4 Ti 2.79, 4 Sc 2.91
7 Ga 0.5000 0.5000 0.3074  2 Ga 2.75, 8 Ti 2.76-2.77
8 Ga 0.5000 0.5000 0.5000  2 Ga 2.75, 8 Ti 2.78
9 Ga 0.5000 0.5000 0.6926  2 Ga 2.75, 8 Ti 2.76-2.77
10 Ga 0.5000 0.5000 0.8852  1 Ga 2.75, 4 Ti 2.79, 4 Sc 2.91

Computed properties:
The calculation puts the formation energy at -0.40 eV/atom. The total energy is -5.706 eV per atom. The value obtained for the density of states at the Fermi level is 8.40 states/eV per cell. Its total magnetization is 0.00 μB per formula unit.

# ZrPbI2O

A relaxed structure of ZrPbI2O (PBE, Alexandria via LeMat-Bulk).

Cell lengths 6.2862, 6.2862, 4.1728 Å; angles 90.00, 90.00, 90.00 degrees
With the nearest neighbours (Å) after each atom.
Fractional coordinates of all 5 atoms:
1 Zr 0.0000 0.0000 0.0000  8 I 3.77, 2 Zr 4.17
2 Pb 0.5000 0.5000 0.5000  2 O 2.09
3 I 0.0000 0.5000 0.5000  2 Pb 3.14
4 I 0.5000 0.0000 0.5000  2 Pb 3.14
5 O 0.5000 0.5000 0.0000  2 Pb 2.09

Computed properties:
For the energy relative to the elements, uncorrected, the calculation gives 0.175 eV per atom. The total energy is -3.888 eV per atom. The value obtained for the density of states at the Fermi level is 3.53 states/eV per cell. For the energy above the most stable polymorph in this dataset, the calculation gives 1137.4 meV per atom. Its total magnetization is 2.63 μB per formula unit.

# TiH3W

A relaxed structure of TiH3W (PBE, Alexandria via LeMat-Bulk).

Cell lengths 3.4933, 3.4933, 3.4933 Å; angles 90.00, 90.00, 90.00 degrees
With the nearest neighbours (Å) after each atom.
Fractional coordinates of all 5 atoms:
1 Ti 0.0000 0.0000 0.0000  12 H 2.47
2 H 0.0000 0.5000 0.5000  2 W 1.75
3 H 0.5000 0.0000 0.5000  2 W 1.75
4 H 0.5000 0.5000 0.0000  2 W 1.75
5 W 0.5000 0.5000 0.5000  6 H 1.75

Computed properties:
The total energy is -6.006 eV per atom. The value obtained for the density of states at the Fermi level is 4.36 states/eV per cell. For the energy above the most stable polymorph in this dataset, the calculation gives 0.0 meV per atom. Its total magnetization is 0.00 μB per formula unit.

# LiSnTeI2

A relaxed structure of LiSnTeI2 (PBE, Alexandria via LeMat-Bulk).

Cell lengths 6.1092, 6.1092, 5.8139 Å; angles 90.00, 90.00, 90.00 degrees
With the nearest neighbours (Å) after each atom.
Fractional coordinates of all 5 atoms:
1 Li 0.0000 0.0000 0.0000  8 I 4.22, 4 Te 4.32
2 Sn 0.5000 0.5000 0.5000  2 Te 2.91, 4 I 3.05
3 Te 0.5000 0.5000 0.0000  2 Sn 2.91
4 I 0.0000 0.5000 0.5000  2 Sn 3.05
5 I 0.5000 0.0000 0.5000  2 Sn 3.05

Computed properties:
For the energy relative to the elements, uncorrected, the calculation gives -0.222 eV per atom. The total energy is -2.654 eV per atom. The value obtained for the density of states at the Fermi level is 6.61 states/eV per cell. For the energy above the most stable polymorph in this dataset, the calculation gives 0.0 meV per atom. Its total magnetization is 0.00 μB per formula unit.

# Zr3As2H

A relaxed structure of Zr3As2H (PBE, Alexandria via LeMat-Bulk).

Cell lengths 6.2378, 6.2378, 7.3717 Å; angles 102.53, 102.53, 51.55 degrees
With the nearest neighbours (Å) after each atom.
Fractional coordinates of all 12 atoms:
1 Zr 0.0008 0.9992 0.7500  1 H 2.04
2 Zr 0.3550 0.3667 0.8750  1 H 2.12
3 Zr 0.3667 0.3550 0.3750  1 H 2.12
4 Zr 0.6333 0.6450 0.6250  1 H 2.12
5 Zr 0.6450 0.6333 0.1250  1 H 2.12
6 Zr 0.9992 0.0008 0.2500  1 H 2.04
7 As 0.1737 0.1870 0.5700  6 Zr 2.64-2.80
8 As 0.1870 0.1737 0.0700  6 Zr 2.64-2.80
9 As 0.8130 0.8263 0.9300  6 Zr 2.64-2.80
10 As 0.8263 0.8130 0.4300  6 Zr 2.64-2.80
11 H 0.3756 0.6244 0.2500  3 Zr 2.04-2.12
12 H 0.6244 0.3756 0.7500  3 Zr 2.04-2.12

Computed properties:
The total energy is -7.120 eV per atom. The value obtained for the density of states at the Fermi level is 5.48 states/eV per cell. For the energy above the most stable polymorph in this dataset, the calculation gives 226.9 meV per atom. Its total magnetization is 0.00 μB per formula unit.

# Cd2InHg4

A relaxed structure of Cd2InHg4 (PBE, Alexandria via LeMat-Bulk).

Cell lengths 6.4707, 6.4146, 8.9629 Å; angles 90.00, 100.52, 90.00 degrees
With the nearest neighbours (Å) after each atom.
Fractional coordinates of all 14 atoms:
1 Cd 0.0015 0.2500 0.4991  6 Hg 2.99-3.06, 2 Cd 3.21
2 Cd 0.2453 0.2500 0.9702  3 In 3.02-3.22, 5 Hg 3.10-3.12
3 Cd 0.7547 0.7500 0.0298  3 In 3.02-3.22, 5 Hg 3.10-3.12
4 Cd 0.9985 0.7500 0.5009  6 Hg 2.99-3.06, 2 Cd 3.21
5 In 0.2799 0.7500 0.9593  3 Cd 3.02-3.22, 5 Hg 3.18-3.29
6 In 0.7201 0.2500 0.0407  3 Cd 3.02-3.22, 5 Hg 3.18-3.29
7 Hg 0.1134 0.5021 0.2356  4 Cd 3.06-3.12, 4 Hg 3.18-3.27, 2 In 3.24-3.29
8 Hg 0.1134 0.9979 0.2356  4 Cd 3.06-3.12, 4 Hg 3.18-3.27, 2 In 3.24-3.29
9 Hg 0.4389 0.2500 0.6777  2 Cd 2.99-3.10, 5 Hg 3.13-3.27
10 Hg 0.4520 0.7500 0.6484  1 Cd 2.99, 5 Hg 3.13-3.25, 1 In 3.18
11 Hg 0.5480 0.2500 0.3516  1 Cd 2.99, 5 Hg 3.13-3.25, 1 In 3.18
12 Hg 0.5611 0.7500 0.3223  2 Cd 2.99-3.10, 5 Hg 3.13-3.27
13 Hg 0.8866 0.0021 0.7644  4 Cd 3.06-3.12, 4 Hg 3.18-3.27, 2 In 3.24-3.29
14 Hg 0.8866 0.4979 0.7644  4 Cd 3.06-3.12, 4 Hg 3.18-3.27, 2 In 3.24-3.29

Computed properties:
The calculation puts the formation energy at 0.03 eV/atom. The total energy is -0.800 eV per atom. The value obtained for the density of states at the Fermi level is 5.15 states/eV per cell. For the energy above the most stable polymorph in this dataset, the calculation gives 1.8 meV per atom. Its total magnetization is 0.00 μB per formula unit.